(1)
MgCdGaSb | GGA-PBE | optimized geometry

The structure in POSCAR format:
```
MgCdGaSb
1.0
-2.578 2.885 -3.368
-3.988 -1.978 -2.549
-4.765 1.563 1.080
Sb Mg Ga Cd
1 1 1 1
Direct
0.250 0.250 0.250 Sb
0.500 0.500 0.500 Mg
0.000 0.000 0.000 Ga
0.750 0.750 0.750 Cd
```

Computed properties:
**E_tot**: -2.42 eV/atom
**Crystal system**: cubic
**E_form (uncorrected)**: -0.010 eV/atom

=====

(2)
TiIn2Ni | GGA-PBE | optimized geometry

The structure in POSCAR format:
```
TiIn2Ni
1.0
-3.937 -3.553 -5.200
5.253 -5.235 -0.401
-0.664 -5.875 -0.786
Ni Ti In
2 2 4
Direct
0.000 0.000 0.000 Ni
0.750 0.250 0.500 Ni
0.500 0.500 0.000 Ti
0.250 0.750 0.500 Ti
0.662 0.125 0.250 In
0.088 0.625 0.250 In
0.375 0.338 0.750 In
0.875 0.912 0.750 In
```

Computed properties:
**E_tot**: -4.61 eV/atom
**Crystal system**: tetragonal

=====

(3)
KCa2Y | GGA-PBE | optimized geometry

The structure in POSCAR format:
```
KCa2Y
1.0
13.716 0.015 0.009
13.179 3.798 0.009
13.179 1.868 3.307
Ca K Y
2 1 1
Direct
0.003 0.003 0.003 Ca
0.257 0.257 0.257 Ca
0.498 0.498 0.498 K
0.743 0.743 0.743 Y
```

Computed properties:
**E_tot**: -2.68 eV/atom
**Crystal system**: trigonal
**Polymorph energy (0 for the lowest one)**: 0.21 eV/f.u.

=====

(4)
La2TlNiB | GGA-PBE | optimized geometry

The structure in POSCAR format:
```
La2TlNiB
1.0
-0.271 -5.384 1.393
5.558 -0.213 0.258
-0.137 0.977 3.749
Ni Tl B La
1 1 1 2
Direct
0.000 0.000 0.500 Ni
0.500 0.500 0.500 Tl
0.000 0.000 0.000 B
0.000 0.500 0.000 La
0.500 0.000 0.000 La
```

Computed properties:
**E_tot**: -5.15 eV/atom
**Crystal system**: tetragonal
**Polymorph energy (0 for the lowest one)**: 0.00 eV/f.u.